LaMgGa2Pd5 | PBE-GGA | optimized geometry

Calculated values
Density of states at the Fermi level (states/eV/cell): 1.0
SG: P4/mmm
DFT formation energy (meV per atom): -639
Theoretical density (kg/m³): 8333

```
LaMgGa2Pd5
1.0
4.2099 0.0000 0.0000
0.0000 4.2099 0.0000
0.0000 0.0000 9.3861
La Mg Ga Pd
1 1 2 5
direct
0.0000 0.0000 0.0000 La
0.0000 0.0000 0.5000 Mg
0.5000 0.5000 0.3704 Ga
0.5000 0.5000 0.6296 Ga
0.0000 0.5000 0.2312 Pd
0.0000 0.5000 0.7688 Pd
0.5000 0.0000 0.2312 Pd
0.5000 0.0000 0.7688 Pd
0.5000 0.5000 0.0000 Pd
```